## Eu3Fe5N12 (PBE)

Data for a relaxed Eu3Fe5N12 crystal.

Geometry as POSCAR:
```
Eu3Fe5N12
1.0
10.603 0.000 0.000
-3.534 9.997 0.000
-3.534 -4.998 8.657
Eu Fe N
12 20 48
Direct
0.750 0.375 0.125
0.875 0.750 0.125
0.375 0.750 0.625
0.250 0.125 0.375
0.875 0.125 0.250
0.375 0.625 0.250
0.625 0.375 0.750
0.125 0.875 0.750
0.750 0.875 0.625
0.625 0.250 0.375
0.125 0.250 0.875
0.250 0.625 0.875
0.125 0.375 0.250
0.000 0.500 0.000
0.000 0.000 0.000
0.375 0.250 0.125
0.500 0.000 0.500
0.500 0.500 0.000
0.125 0.750 0.375
0.750 0.125 0.875
0.750 0.625 0.375
0.375 0.125 0.750
0.625 0.875 0.250
0.500 0.500 0.500
0.500 0.000 0.000
0.000 0.000 0.500
0.250 0.375 0.625
0.250 0.875 0.125
0.000 0.500 0.500
0.875 0.250 0.625
0.625 0.750 0.875
0.875 0.625 0.750
0.694 0.108 0.006
0.312 0.506 0.398
0.994 0.392 0.306
0.506 0.194 0.108
0.586 0.694 0.688
0.994 0.602 0.188
0.312 0.806 0.414
0.102 0.914 0.108
0.602 0.994 0.688
0.694 0.586 0.188
0.806 0.494 0.392
0.812 0.898 0.006
0.108 0.694 0.506
0.392 0.398 0.086
0.086 0.898 0.392
0.414 0.108 0.602
0.086 0.188 0.194
0.494 0.688 0.102
0.812 0.914 0.306
0.108 0.414 0.102
0.392 0.994 0.806
0.602 0.608 0.414
0.898 0.812 0.506
0.806 0.312 0.914
0.398 0.392 0.586
0.102 0.188 0.494
0.194 0.688 0.086
0.188 0.086 0.694
0.608 0.006 0.194
0.892 0.586 0.898
0.506 0.312 0.898
0.586 0.892 0.398
0.914 0.812 0.806
0.914 0.102 0.608
0.892 0.306 0.494
0.188 0.102 0.994
0.608 0.602 0.914
0.398 0.006 0.312
0.306 0.414 0.812
0.194 0.506 0.608
0.898 0.086 0.892
0.688 0.194 0.586
0.494 0.806 0.892
0.006 0.398 0.812
0.414 0.306 0.312
0.006 0.608 0.694
0.688 0.494 0.602
0.306 0.892 0.994
```

* theoretical density: 6.538 g/cm³
* total moment: 91.5 Bohr magnetons per cell
* formation energy without anion corrections: -0.0034 eV/atom
* SG: Ia-3d (230)